<one>
{"formula": "YTa", "functional": "PBE", "state": "relaxed", "lattice_angstrom": [[5.3718, 0.0000, 0.0000], [-2.6859, 4.6521, 0.0000], [0.0000, 0.0000, 7.9623]], "species": ["Y", "Y", "Y", "Y", "Ta", "Ta", "Ta", "Ta"], "frac_coords": [[0.0000, 0.0000, 0.2500], [0.0000, 0.0000, 0.7500], [0.3333, 0.6667, 0.2500], [0.6667, 0.3333, 0.7500], [0.3333, 0.6667, 0.5948], [0.3333, 0.6667, 0.9052], [0.6667, 0.3333, 0.0948], [0.6667, 0.3333, 0.4052]], "sg": "P6_3/mmc", "magmom_total_mub_per_cell": 0.000}

---

<two>
{"formula": "YTa", "functional": "PBE", "state": "relaxed", "lattice_angstrom": [[6.7163, 0.0000, 0.0000], [0.0000, 6.7163, 0.0000], [0.0000, 0.0000, 6.7163]], "species": ["Y", "Y", "Y", "Y", "Ta", "Ta", "Ta", "Ta"], "frac_coords": [[0.0000, 0.0000, 0.0000], [0.0000, 0.5000, 0.5000], [0.5000, 0.0000, 0.5000], [0.5000, 0.5000, 0.0000], [0.2500, 0.2500, 0.2500], [0.2500, 0.7500, 0.7500], [0.7500, 0.2500, 0.7500], [0.7500, 0.7500, 0.2500]], "sg": "F-43m", "magmom_total_mub_per_cell": 11.606}

---

<three>
{"formula": "YTa", "functional": "PBE", "state": "relaxed", "lattice_angstrom": [[3.4721, 0.0000, 0.0000], [0.0000, 16.9024, 0.0000], [0.0000, 0.0000, 3.5764]], "species": ["Y", "Y", "Y", "Y", "Ta", "Ta", "Ta", "Ta"], "frac_coords": [[0.0000, 0.0963, 0.2500], [0.0000, 0.9037, 0.7500], [0.5000, 0.4037, 0.7500], [0.5000, 0.5963, 0.2500], [0.0000, 0.2862, 0.2500], [0.0000, 0.7138, 0.7500], [0.5000, 0.2138, 0.7500], [0.5000, 0.7862, 0.2500]], "sg": "Cmcm", "magmom_total_mub_per_cell": 0.000}

---

<four>
{"formula": "YTa", "functional": "PBE", "state": "relaxed", "lattice_angstrom": [[4.7230, 0.0000, 0.0000], [-2.3615, 4.0902, 0.0000], [0.0000, 0.0000, 10.6698]], "species": ["Y", "Y", "Y", "Y", "Ta", "Ta", "Ta", "Ta"], "frac_coords": [[0.3333, 0.6667, 0.0911], [0.3333, 0.6667, 0.4089], [0.6667, 0.3333, 0.5911], [0.6667, 0.3333, 0.9089], [0.0000, 0.0000, 0.2500], [0.0000, 0.0000, 0.7500], [0.3333, 0.6667, 0.7500], [0.6667, 0.3333, 0.2500]], "sg": "P6_3/mmc", "magmom_total_mub_per_cell": 0.000}

---

Name the least stable of them. <two>.

---

<one>
{"formula": "YTa3", "functional": "PBE", "state": "relaxed", "lattice_angstrom": [[4.1167, 0.0000, 0.0000], [0.0000, 4.1167, 0.0000], [0.0000, 0.0000, 19.9077]], "species": ["Y", "Y", "Y", "Y", "Ta", "Ta", "Ta", "Ta", "Ta", "Ta", "Ta", "Ta", "Ta", "Ta", "Ta", "Ta"], "frac_coords": [[0.0000, 0.0000, 0.1305], [0.0000, 0.0000, 0.8695], [0.5000, 0.5000, 0.3695], [0.5000, 0.5000, 0.6305], [0.0000, 0.0000, 0.3951], [0.0000, 0.0000, 0.6049], [0.0000, 0.5000, 0.0000], [0.0000, 0.5000, 0.2500], [0.0000, 0.5000, 0.5000], [0.0000, 0.5000, 0.7500], [0.5000, 0.0000, 0.0000], [0.5000, 0.0000, 0.2500], [0.5000, 0.0000, 0.5000], [0.5000, 0.0000, 0.7500], [0.5000, 0.5000, 0.1049], [0.5000, 0.5000, 0.8951]], "sg": "I4/mmm", "magmom_total_mub_per_cell": 0.000}

---

<two>
{"formula": "YTa3", "functional": "PBE", "state": "relaxed", "lattice_angstrom": [[9.7674, 0.0000, 0.0000], [0.0000, 2.8930, 0.0000], [-0.2355, 0.0000, 5.9028]], "species": ["Y", "Y", "Ta", "Ta", "Ta", "Ta", "Ta", "Ta"], "frac_coords": [[0.0000, 0.0000, 0.0000], [0.5000, 0.5000, 0.0000], [0.0000, 0.5000, 0.5000], [0.2447, 0.0000, 0.7191], [0.2553, 0.5000, 0.2809], [0.5000, 0.0000, 0.5000], [0.7447, 0.5000, 0.7191], [0.7553, 0.0000, 0.2809]], "sg": "C2/m", "magmom_total_mub_per_cell": 0.000}

---

Name the least stable of them. <one>.

---

<one>
{"formula": "YTa3", "functional": "PBE", "state": "relaxed", "lattice_angstrom": [[3.0591, 0.0000, 0.0000], [-1.5295, 2.6492, 0.0000], [0.0000, 0.0000, 30.7727]], "species": ["Y", "Y", "Y", "Ta", "Ta", "Ta", "Ta", "Ta", "Ta", "Ta", "Ta", "Ta"], "frac_coords": [[0.0000, 0.0000, 0.0000], [0.3333, 0.6667, 0.6667], [0.6667, 0.3333, 0.3333], [0.0000, 0.0000, 0.2438], [0.0000, 0.0000, 0.5000], [0.0000, 0.0000, 0.7562], [0.3333, 0.6667, 0.1667], [0.3333, 0.6667, 0.4228], [0.3333, 0.6667, 0.9105], [0.6667, 0.3333, 0.0895], [0.6667, 0.3333, 0.5772], [0.6667, 0.3333, 0.8333]], "sg": "R-3m", "magmom_total_mub_per_cell": 0.000}

---

<two>
{"formula": "YTa3", "functional": "PBE", "state": "relaxed", "lattice_angstrom": [[9.8425, 0.0000, 0.0000], [-4.9212, 8.5238, 0.0000], [0.0000, 0.0000, 2.8913]], "species": ["Y", "Y", "Y", "Ta", "Ta", "Ta", "Ta", "Ta", "Ta", "Ta", "Ta", "Ta"], "frac_coords": [[0.0000, 0.0000, 0.0000], [0.3333, 0.6667, 0.6667], [0.6667, 0.3333, 0.3333], [0.0000, 0.5000, 0.0000], [0.1667, 0.3333, 0.3333], [0.1667, 0.8333, 0.3333], [0.3333, 0.1667, 0.6667], [0.5000, 0.0000, 0.0000], [0.5000, 0.5000, 0.0000], [0.6667, 0.8333, 0.3333], [0.8333, 0.1667, 0.6667], [0.8333, 0.6667, 0.6667]], "sg": "R-3m", "magmom_total_mub_per_cell": 0.000}

---

Name the least stable of them. <one>.

---

<one>
{"formula": "Y2Ta", "functional": "PBE", "state": "relaxed", "lattice_angstrom": [[0.0000, 4.2536, 4.2536], [4.2536, 0.0000, 4.2536], [4.2536, 4.2536, 0.0000]], "species": ["Y", "Y", "Y", "Y", "Ta", "Ta"], "frac_coords": [[0.0000, 0.0000, 0.0000], [0.0000, 0.0000, 0.5000], [0.0000, 0.5000, 0.0000], [0.5000, 0.0000, 0.0000], [0.3750, 0.3750, 0.3750], [0.6250, 0.6250, 0.6250]], "sg": "Fd-3m", "magmom_total_mub_per_cell": 0.000}

---

<two>
{"formula": "Y2Ta", "functional": "PBE", "state": "relaxed", "lattice_angstrom": [[3.3164, 0.0000, 0.0000], [0.0000, 4.4363, 0.0000], [0.0000, 0.0000, 10.6631]], "species": ["Y", "Y", "Y", "Y", "Ta", "Ta"], "frac_coords": [[0.0000, 0.0000, 0.1513], [0.0000, 0.0000, 0.8487], [0.5000, 0.5000, 0.3487], [0.5000, 0.5000, 0.6513], [0.0000, 0.0000, 0.5000], [0.5000, 0.5000, 0.0000]], "sg": "Immm", "magmom_total_mub_per_cell": 0.000}

---

Name the least stable of them. <one>.

---

<one>
{"formula": "Y2Ta", "functional": "PBE", "state": "relaxed", "lattice_angstrom": [[3.2389, 0.0000, 0.0000], [0.0000, 3.2389, 0.0000], [0.0000, 0.0000, 15.2735]], "species": ["Y", "Y", "Y", "Y", "Ta", "Ta"], "frac_coords": [[0.0000, 0.0000, 0.1452], [0.0000, 0.0000, 0.8548], [0.5000, 0.5000, 0.3548], [0.5000, 0.5000, 0.6452], [0.0000, 0.0000, 0.5000], [0.5000, 0.5000, 0.0000]], "sg": "I4/mmm", "magmom_total_mub_per_cell": 0.000}

---

<two>
{"formula": "Y2Ta", "functional": "PBE", "state": "relaxed", "lattice_angstrom": [[5.3515, 0.0000, 0.0000], [0.0000, 5.3515, 0.0000], [0.0000, 0.0000, 3.1826]], "species": ["Y", "Y", "Ta"], "frac_coords": [[0.0000, 0.5000, 0.0000], [0.5000, 0.0000, 0.0000], [0.0000, 0.0000, 0.5000]], "sg": "P4/mmm", "magmom_total_mub_per_cell": 0.000}

---

Name the least stable of them. <two>.

---

<one>
{"formula": "Y5Ta3", "functional": "PBE", "state": "relaxed", "lattice_angstrom": [[8.7709, 0.0000, 0.0000], [0.0000, 10.1768, 0.0000], [0.0000, 0.0000, 4.5845]], "species": ["Y", "Y", "Y", "Y", "Y", "Y", "Y", "Y", "Y", "Y", "Ta", "Ta", "Ta", "Ta", "Ta", "Ta"], "frac_coords": [[0.0000, 0.0000, 0.0000], [0.0000, 0.2469, 0.5000], [0.0000, 0.7531, 0.5000], [0.2500, 0.2500, 0.0000], [0.2500, 0.7500, 0.0000], [0.5000, 0.2531, 0.5000], [0.5000, 0.5000, 0.0000], [0.5000, 0.7469, 0.5000], [0.7500, 0.2500, 0.0000], [0.7500, 0.7500, 0.0000], [0.0000, 0.5000, 0.0000], [0.1885, 0.5000, 0.5000], [0.3115, 0.0000, 0.5000], [0.5000, 0.0000, 0.0000], [0.6885, 0.0000, 0.5000], [0.8115, 0.5000, 0.5000]], "sg": "Cmmm", "magmom_total_mub_per_cell": 0.000}

---

<two>
{"formula": "Y5Ta3", "functional": "PBE", "state": "relaxed", "lattice_angstrom": [[9.1272, 0.0000, 0.0000], [-4.5636, 7.9044, 0.0000], [0.0000, 0.0000, 5.8939]], "species": ["Y", "Y", "Y", "Y", "Y", "Y", "Y", "Y", "Y", "Y", "Ta", "Ta", "Ta", "Ta", "Ta", "Ta"], "frac_coords": [[0.0000, 0.2479, 0.2500], [0.0000, 0.7521, 0.7500], [0.2479, 0.0000, 0.2500], [0.2479, 0.2479, 0.7500], [0.3333, 0.6667, 0.0000], [0.3333, 0.6667, 0.5000], [0.6667, 0.3333, 0.0000], [0.6667, 0.3333, 0.5000], [0.7521, 0.0000, 0.7500], [0.7521, 0.7521, 0.2500], [0.0000, 0.4201, 0.7500], [0.0000, 0.5799, 0.2500], [0.4201, 0.0000, 0.7500], [0.4201, 0.4201, 0.2500], [0.5799, 0.0000, 0.2500], [0.5799, 0.5799, 0.7500]], "sg": "P6_3/mcm", "magmom_total_mub_per_cell": 0.000}

---

Name the least stable of them. <two>.

---

<one>
{"formula": "Y5Ta", "functional": "PBE", "state": "relaxed", "lattice_angstrom": [[6.1106, 0.0000, 0.0000], [-3.0553, 5.2919, 0.0000], [0.0000, 0.0000, 5.8051]], "species": ["Y", "Y", "Y", "Y", "Y", "Ta"], "frac_coords": [[0.0000, 0.5000, 0.0000], [0.3333, 0.6667, 0.5000], [0.5000, 0.0000, 0.0000], [0.5000, 0.5000, 0.0000], [0.6667, 0.3333, 0.5000], [0.0000, 0.0000, 0.5000]], "sg": "P6/mmm", "magmom_total_mub_per_cell": 2.195}

---

<two>
{"formula": "Y5Ta", "functional": "PBE", "state": "relaxed", "lattice_angstrom": [[5.4946, 0.0000, 0.0000], [0.0000, 3.4469, 0.0000], [0.0000, 0.0000, 18.4204]], "species": ["Y", "Y", "Y", "Y", "Y", "Y", "Y", "Y", "Y", "Y", "Ta", "Ta"], "frac_coords": [[0.0000, 0.0000, 0.0000], [0.0000, 0.0000, 0.3057], [0.0000, 0.5000, 0.5000], [0.0000, 0.5000, 0.8057], [0.5000, 0.0000, 0.2050], [0.5000, 0.0000, 0.5519], [0.5000, 0.0000, 0.8805], [0.5000, 0.5000, 0.0519], [0.5000, 0.5000, 0.3805], [0.5000, 0.5000, 0.7050], [0.0000, 0.0000, 0.6521], [0.0000, 0.5000, 0.1521]], "sg": "Amm2", "magmom_total_mub_per_cell": 0.000}

---

Name the least stable of them. <one>.

---

<one>
{"formula": "Y5Ta", "functional": "PBE", "state": "relaxed", "lattice_angstrom": [[0.0000, 4.4734, 4.4734], [4.4734, 0.0000, 4.4734], [4.4734, 4.4734, 0.0000]], "species": ["Y", "Y", "Y", "Y", "Y", "Ta"], "frac_coords": [[0.0000, 0.0000, 0.0000], [0.1293, 0.6236, 0.6236], [0.6236, 0.1293, 0.6236], [0.6236, 0.6236, 0.1293], [0.6236, 0.6236, 0.6236], [0.2500, 0.2500, 0.2500]], "sg": "F-43m", "magmom_total_mub_per_cell": 3.596}

---

<two>
{"formula": "Y5Ta", "functional": "PBE", "state": "relaxed", "lattice_angstrom": [[6.0922, 0.0000, 0.0000], [-3.0461, 5.2760, 0.0000], [0.0000, 0.0000, 5.3974]], "species": ["Y", "Y", "Y", "Y", "Y", "Ta"], "frac_coords": [[0.0000, 0.6897, 0.0000], [0.3103, 0.3103, 0.0000], [0.3333, 0.6667, 0.5000], [0.6667, 0.3333, 0.5000], [0.6897, 0.0000, 0.0000], [0.0000, 0.0000, 0.5000]], "sg": "P-62m", "magmom_total_mub_per_cell": 0.000}

---

<three>
{"formula": "Y5Ta", "functional": "PBE", "state": "relaxed", "lattice_angstrom": [[4.8643, 0.0000, 0.0000], [0.0000, 14.5658, 0.0000], [0.0000, 0.0000, 4.8957]], "species": ["Y", "Y", "Y", "Y", "Y", "Y", "Y", "Y", "Y", "Y", "Ta", "Ta"], "frac_coords": [[0.0000, 0.0000, 0.0000], [0.0000, 0.1539, 0.5000], [0.0000, 0.3437, 0.0000], [0.0000, 0.6563, 0.0000], [0.0000, 0.8461, 0.5000], [0.5000, 0.1563, 0.0000], [0.5000, 0.3461, 0.5000], [0.5000, 0.5000, 0.0000], [0.5000, 0.6539, 0.5000], [0.5000, 0.8437, 0.0000], [0.0000, 0.5000, 0.5000], [0.5000, 0.0000, 0.5000]], "sg": "Cmmm", "magmom_total_mub_per_cell": 0.000}

---

<four>
{"formula": "Y5Ta", "functional": "PBE", "state": "relaxed", "lattice_angstrom": [[13.8828, 0.0000, 0.0000], [0.0000, 3.4747, 0.0000], [-2.1480, 0.0000, 7.3999]], "species": ["Y", "Y", "Y", "Y", "Y", "Y", "Y", "Y", "Y", "Y", "Ta", "Ta"], "frac_coords": [[0.0000, 0.0000, 0.0000], [0.0264, 0.0000, 0.5950], [0.1595, 0.5000, 0.3307], [0.2988, 0.0000, 0.7177], [0.3394, 0.0000, 0.2010], [0.5000, 0.5000, 0.0000], [0.5264, 0.5000, 0.5950], [0.6595, 0.0000, 0.3307], [0.7988, 0.5000, 0.7177], [0.8394, 0.5000, 0.2010], [0.1719, 0.5000, 0.9279], [0.6719, 0.0000, 0.9279]], "sg": "Cm", "magmom_total_mub_per_cell": 0.000}

---

Name the least stable of them. <one>.